(1)
Sm3Al3Hg2 | GGA-PBE | optimized geometry

Cell: 4.618 11.082 15.206 Å, 90.00 90.00 90.00°
Space group Cmcm (No. 63)
Symmetry-distinct sites (fractional):
Sm  0.000  0.087  0.112 [8 per cell]
Sm  0.000  0.359  0.250 [4 per cell]
Al  0.000  0.354  0.750 [4 per cell]
Al  0.000  0.392  0.039 [8 per cell]
Hg  0.000  0.206  0.601 [8 per cell]

Summary:
N(E_F)   22.56 states/eV/cell
Density   8.0 g cm⁻³
Energy relative to the elements   -0.4425 eV per atom

---

(2)
Sm3Al2Hg3 | GGA-PBE | optimized geometry

Cell: 4.595 11.246 15.447 Å, 90.00 90.00 90.00°
Space group Cmcm (No. 63)
Symmetry-distinct sites (fractional):
Sm  0.000  0.083  0.109 [8 per cell]
Sm  0.000  0.366  0.250 [4 per cell]
Al  0.000  0.208  0.605 [8 per cell]
Hg  0.000  0.353  0.750 [4 per cell]
Hg  0.000  0.376  0.037 [8 per cell]

Summary:
N(E_F)   20.34 states/eV/cell
Density   9.2 g cm⁻³
Energy relative to the elements   -0.4409 eV per atom

---

(3)
Sm4Al2Hg5 | GGA-PBE | optimized geometry

Cell: 7.969 3.776 9.513 Å, 90.00 94.19 90.00°
Space group P2/m (No. 10)
Symmetry-distinct sites (fractional):
Sm  0.211  0.000  0.141 [2 per cell]
Sm  0.257  0.000  0.617 [2 per cell]
Al  0.067  0.500  0.381 [2 per cell]
Hg  0.129  0.500  0.872 [2 per cell]
Hg  0.411  0.500  0.358 [2 per cell]
Hg  0.500  0.500  0.000 [1 per cell]

Summary:
N(E_F)   7.08 states/eV/cell
Density   9.6 g cm⁻³
Energy relative to the elements   -0.4008 eV per atom

---

(4)
TbSmAlHg | GGA-PBE | optimized geometry

Cell: 7.461 7.461 7.461 Å, 90.00 90.00 90.00°
Space group F-43m (No. 216)
Symmetry-distinct sites (fractional):
Tb  0.000  0.000  0.000 [4 per cell]
Sm  0.000  0.000  0.500 [4 per cell]
Al  0.250  0.250  0.250 [4 per cell]
Hg  0.250  0.250  0.750 [4 per cell]

Summary:
N(E_F)   19.54 states/eV/cell
Density   8.6 g cm⁻³
Energy relative to the elements   -0.3951 eV per atom

---

(5)
TbSmAlHg | GGA-PBE | optimized geometry

Cell: 3.537 3.537 8.112 Å, 90.00 90.00 90.00°
Space group P4mm (No. 99)
Symmetry-distinct sites (fractional):
Tb  0.000  0.000  0.000 [1 per cell]
Sm  0.000  0.000  0.521 [1 per cell]
Al  0.500  0.500  0.764 [1 per cell]
Hg  0.500  0.500  0.252 [1 per cell]

Summary:
N(E_F)   1.79 states/eV/cell
Density   8.8 g cm⁻³
Energy relative to the elements   -0.4341 eV per atom

---

(6)
Sm4AlTl2Hg | GGA-PBE | optimized geometry

Cell: 5.3908 5.3908 26.3375 Å, 90.00 90.00 120.00°
Space group R-3m (No. 166, hexagonal axes)
Symmetry-distinct sites (fractional):
Sm  0.0000  0.0000  0.1229 [6 per cell]
Sm  0.0000  0.0000  0.3733 [6 per cell]
Al  0.0000  0.0000  0.0000 [3 per cell]
Tl  0.0000  0.0000  0.2476 [6 per cell]
Hg  0.0000  0.0000  0.5000 [3 per cell]

Summary:
N(E_F)   25.76 states/eV/cell
Density   9.3 g cm⁻³
Energy relative to the elements   -0.3844 eV per atom

---

Which value of energy relative to the elements does entry 1 give? -0.4425 eV per atom

---

What is the formula in the fifth record? TbSmAlHg